No. 1
## PaCo2P2Os (PBE)

Data for a relaxed structure of PaCo2P2Os.

## Properties
ΔH_f (0 K)	1.55	eV/f.u.
symmetry	No. 123

```
PaCo2P2Os
1.0
4.561 0.000 0.000
0.000 4.561 0.000
0.000 0.000 5.051
Pa Co P Os
1 2 2 1
direct
0.000 0.000 0.000 Pa
0.500 0.500 0.247 Co
0.500 0.500 0.753 Co
0.000 0.500 0.500 P
0.500 0.000 0.500 P
0.000 0.000 0.500 Os
```


No. 2
## TbSm6Y3Er2 (PBE)

Data for a relaxed structure of TbSm6Y3Er2.

## Properties
ΔH_f (0 K)	0.17	eV/f.u.
symmetry	No. 12

```
TbSm6Y3Er2
1.0
3.113 -5.390 0.000
3.113 5.390 0.000
-2.067 0.000 11.648
Tb Sm Y Er
1 6 3 2
direct
0.000 0.000 0.000 Tb
0.083 0.417 0.249 Sm
0.250 0.250 0.751 Sm
0.417 0.083 0.249 Sm
0.583 0.917 0.751 Sm
0.750 0.750 0.249 Sm
0.917 0.583 0.751 Sm
0.167 0.833 0.500 Y
0.500 0.500 0.500 Y
0.833 0.167 0.500 Y
0.333 0.667 0.000 Er
0.667 0.333 0.000 Er
```


No. 3
## LaTi2Hg2 (PBE)

Data for a relaxed structure of LaTi2Hg2.

## Properties
ΔH_f (0 K)	-0.21	eV/f.u.
symmetry	No. 127
excess energy over the best structure of this formula in the dataset	0.0	meV/atom

```
LaTi2Hg2
1.0
8.445 0.000 0.000
0.000 8.445 0.000
0.000 0.000 3.107
La Ti Hg
2 4 4
direct
0.000 0.000 0.000 La
0.500 0.500 0.000 La
0.112 0.388 0.000 Ti
0.388 0.888 0.000 Ti
0.612 0.112 0.000 Ti
0.888 0.612 0.000 Ti
0.180 0.680 0.500 Hg
0.320 0.180 0.500 Hg
0.680 0.820 0.500 Hg
0.820 0.320 0.500 Hg
```


No. 4
## TmTh4Pd15 (PBE)

Data for a relaxed structure of TmTh4Pd15.

## Properties
ΔH_f (0 K)	-18.87	eV/f.u.
symmetry	No. 123

```
TmTh4Pd15
1.0
4.192 0.000 0.000
0.000 4.192 0.000
0.000 0.000 20.997
Tm Th Pd
1 4 15
direct
0.000 0.000 0.000 Tm
0.000 0.000 0.194 Th
0.000 0.000 0.398 Th
0.000 0.000 0.602 Th
0.000 0.000 0.806 Th
0.000 0.500 0.097 Pd
0.000 0.500 0.298 Pd
0.000 0.500 0.500 Pd
0.000 0.500 0.702 Pd
0.000 0.500 0.903 Pd
0.500 0.000 0.097 Pd
0.500 0.000 0.298 Pd
0.500 0.000 0.500 Pd
0.500 0.000 0.702 Pd
0.500 0.000 0.903 Pd
0.500 0.500 0.000 Pd
0.500 0.500 0.199 Pd
0.500 0.500 0.400 Pd
0.500 0.500 0.600 Pd
0.500 0.500 0.801 Pd
```


No. 5
## Bi3PbCl (PBE)

Data for a relaxed structure of Bi3PbCl.

## Properties
formation energy (no corrections)	0.682	eV/atom
symmetry	No. 221
excess energy over the best structure of this formula in the dataset	260.6	meV/atom

```
Bi3PbCl
1.0
5.963 0.000 0.000
0.000 5.963 0.000
0.000 0.000 5.963
Bi Pb Cl
3 1 1
direct
0.000 0.000 0.500 Bi
0.000 0.500 0.000 Bi
0.500 0.000 0.000 Bi
0.000 0.000 0.000 Pb
0.500 0.500 0.500 Cl
```


No. 6
## InPRh2 (PBE)

Data for a relaxed structure of InPRh2.

## Properties
ΔH_f (0 K)	-0.61	eV/f.u.
symmetry	No. 123

```
InPRh2
1.0
4.291 0.000 0.000
0.000 4.291 0.000
0.000 0.000 3.349
In P Rh
1 1 2
direct
0.000 0.000 0.000 In
0.500 0.500 0.000 P
0.000 0.500 0.500 Rh
0.500 0.000 0.500 Rh
```


No. 7
## Np2US4 (PBE)

Data for a relaxed structure of Np2US4.

## Properties
formation energy (no corrections)	-1.358	eV/atom
symmetry	No. 63

```
Np2US4
1.0
1.915 -6.502 0.000
1.915 6.502 0.000
0.000 0.000 12.773
Np U S
4 2 8
direct
0.133 0.867 0.567 Np
0.133 0.867 0.933 Np
0.867 0.133 0.067 Np
0.867 0.133 0.433 Np
0.380 0.620 0.750 U
0.620 0.380 0.250 U
0.030 0.970 0.750 S
0.226 0.774 0.127 S
0.226 0.774 0.373 S
0.500 0.500 0.000 S
0.500 0.500 0.500 S
0.774 0.226 0.627 S
0.774 0.226 0.873 S
0.970 0.030 0.250 S
```


No. 8
## BeTcSn3 (PBE)

Data for a relaxed structure of BeTcSn3.

## Properties
ΔH_f (0 K)	4.71	eV/f.u.
symmetry	No. 221
excess energy over the best structure of this formula in the dataset	249.7	meV/atom

```
BeTcSn3
1.0
4.848 0.000 0.000
0.000 4.848 0.000
0.000 0.000 4.848
Be Tc Sn
1 1 3
direct
0.000 0.000 0.000 Be
0.500 0.500 0.500 Tc
0.000 0.000 0.500 Sn
0.000 0.500 0.000 Sn
0.500 0.000 0.000 Sn
```


Number 1: total magnetic moment 1.985 μB/cell. Number 2: total magnetic moment 0.000 μB/cell. Number 3: total magnetic moment 4.234 μB/cell. Number 4: total magnetic moment 0.000 μB/cell. Number 5: total magnetic moment 0.000 μB/cell. Number 6: total magnetic moment 0.000 μB/cell. Number 7: total magnetic moment 22.935 μB/cell. Number 8: total magnetic moment 2.902 μB/cell.